(1)
This record from the Open Quantum Materials Database describes an optimized crystal structure of BaNiSn2Au. The functional is GGA-PBE. Values from VASP.

Total DFT energy (no corrections): -42.483 eV per cell
Magnetization: 0.0 μB/f.u.
SG: P4/nmm

Cell and atoms, written as Quantum ESPRESSO input:
```
&SYSTEM
  ibrav = 0, nat = 10, ntyp = 4
/
ATOMIC_SPECIES
Ba 137.33 Ba.upf
Ni 58.69 Ni.upf
Sn 118.71 Sn.upf
Au 196.97 Au.upf
CELL_PARAMETERS angstrom
4.7875 0.0000 0.0000
0.0000 4.7875 0.0000
0.0000 0.0000 10.6903
ATOMIC_POSITIONS angstrom
Ba 1.1969 1.1969 2.6554
Ba 3.5907 3.5907 8.0350
Ni 1.1969 1.1969 6.5371
Ni 3.5907 3.5907 4.1532
Sn 1.1969 1.1969 9.1292
Sn 1.1969 3.5907 5.3452
Sn 3.5907 1.1969 5.3452
Sn 3.5907 3.5907 1.5612
Au 1.1969 3.5907 0.0000
Au 3.5907 1.1969 0.0000
```

---

(2)
This record from the Open Quantum Materials Database describes an optimized crystal structure of BaTaNiAu. The functional is GGA-PBE. Values from VASP.

Magnetization: 1.6 μB/f.u.
SG: F-43m
Distance to the lowest polymorph of the same formula: 0 meV/atom

Cell and atoms, written as Quantum ESPRESSO input:
```
&SYSTEM
  ibrav = 0, nat = 16, ntyp = 4
/
ATOMIC_SPECIES
Ba 137.33 Ba.upf
Ta 180.95 Ta.upf
Ni 58.69 Ni.upf
Au 196.97 Au.upf
CELL_PARAMETERS angstrom
7.1109 0.0000 0.0000
0.0000 7.1109 0.0000
0.0000 0.0000 7.1109
ATOMIC_POSITIONS angstrom
Ba 0.0000 0.0000 0.0000
Ba 0.0000 3.5554 3.5554
Ba 3.5554 0.0000 3.5554
Ba 3.5554 3.5554 0.0000
Ta 0.0000 0.0000 3.5554
Ta 0.0000 3.5554 0.0000
Ta 3.5554 0.0000 0.0000
Ta 3.5554 3.5554 3.5554
Ni 1.7777 1.7777 1.7777
Ni 1.7777 5.3332 5.3332
Ni 5.3332 1.7777 5.3332
Ni 5.3332 5.3332 1.7777
Au 1.7777 1.7777 5.3332
Au 1.7777 5.3332 1.7777
Au 5.3332 1.7777 1.7777
Au 5.3332 5.3332 5.3332
```

---

(3)
This record from the Open Quantum Materials Database describes an optimized crystal structure of BaTaNiAu. The functional is GGA-PBE. Values from VASP.

Magnetization: 0.0 μB/f.u.
SG: F-43m
Distance to the lowest polymorph of the same formula: 43 meV/atom

Cell and atoms, written as Quantum ESPRESSO input:
```
&SYSTEM
  ibrav = 0, nat = 16, ntyp = 4
/
ATOMIC_SPECIES
Ba 137.33 Ba.upf
Ta 180.95 Ta.upf
Ni 58.69 Ni.upf
Au 196.97 Au.upf
CELL_PARAMETERS angstrom
6.7953 0.0000 0.0000
0.0000 6.7953 0.0000
0.0000 0.0000 6.7953
ATOMIC_POSITIONS angstrom
Ba 0.0000 0.0000 0.0000
Ba 0.0000 3.3976 3.3976
Ba 3.3976 0.0000 3.3976
Ba 3.3976 3.3976 0.0000
Ta 1.6988 1.6988 1.6988
Ta 1.6988 5.0965 5.0965
Ta 5.0965 1.6988 5.0965
Ta 5.0965 5.0965 1.6988
Ni 1.6988 1.6988 5.0965
Ni 1.6988 5.0965 1.6988
Ni 5.0965 1.6988 1.6988
Ni 5.0965 5.0965 5.0965
Au 0.0000 0.0000 3.3976
Au 0.0000 3.3976 0.0000
Au 3.3976 0.0000 0.0000
Au 3.3976 3.3976 3.3976
```

---

(4)
This record from the Open Quantum Materials Database describes an optimized crystal structure of BaTaNiAu. The functional is GGA-PBE. Values from VASP.

Magnetization: 0.0 μB/f.u.
SG: F-43m
Distance to the lowest polymorph of the same formula: 141 meV/atom

Cell and atoms, written as Quantum ESPRESSO input:
```
&SYSTEM
  ibrav = 0, nat = 16, ntyp = 4
/
ATOMIC_SPECIES
Ba 137.33 Ba.upf
Ta 180.95 Ta.upf
Ni 58.69 Ni.upf
Au 196.97 Au.upf
CELL_PARAMETERS angstrom
6.9181 0.0000 0.0000
0.0000 6.9181 0.0000
0.0000 0.0000 6.9181
ATOMIC_POSITIONS angstrom
Ba 0.0000 0.0000 0.0000
Ba 0.0000 3.4591 3.4591
Ba 3.4591 0.0000 3.4591
Ba 3.4591 3.4591 0.0000
Ta 1.7295 1.7295 5.1886
Ta 1.7295 5.1886 1.7295
Ta 5.1886 1.7295 1.7295
Ta 5.1886 5.1886 5.1886
Ni 0.0000 0.0000 3.4591
Ni 0.0000 3.4591 0.0000
Ni 3.4591 0.0000 0.0000
Ni 3.4591 3.4591 3.4591
Au 1.7295 1.7295 1.7295
Au 1.7295 5.1886 5.1886
Au 5.1886 1.7295 5.1886
Au 5.1886 5.1886 1.7295
```

---

(5)
This record from the Open Quantum Materials Database describes an optimized crystal structure of BaNpAu. The functional is GGA-PBE. Values from VASP.

Total DFT energy (no corrections): -64.754 eV per cell
Magnetization: 5.1 μB/f.u.
SG: F-43m

Cell and atoms, written as Quantum ESPRESSO input:
```
&SYSTEM
  ibrav = 0, nat = 12, ntyp = 3
/
ATOMIC_SPECIES
Ba 137.33 Ba.upf
Np 237.00 Np.upf
Au 196.97 Au.upf
CELL_PARAMETERS angstrom
7.2498 0.0000 0.0000
0.0000 7.2498 0.0000
0.0000 0.0000 7.2498
ATOMIC_POSITIONS angstrom
Ba 0.0000 0.0000 0.0000
Ba 0.0000 3.6249 3.6249
Ba 3.6249 0.0000 3.6249
Ba 3.6249 3.6249 0.0000
Np 1.8124 1.8124 5.4373
Np 1.8124 5.4373 1.8124
Np 5.4373 1.8124 1.8124
Np 5.4373 5.4373 5.4373
Au 0.0000 0.0000 3.6249
Au 0.0000 3.6249 0.0000
Au 3.6249 0.0000 0.0000
Au 3.6249 3.6249 3.6249
```

---

(6)
This record from the Open Quantum Materials Database describes an optimized crystal structure of Ba4AuO3. The functional is GGA-PBE. Values from VASP.

Total DFT energy (no corrections): -40.587 eV per cell
SG: Pm

Cell and atoms, written as Quantum ESPRESSO input:
```
&SYSTEM
  ibrav = 0, nat = 8, ntyp = 3
/
ATOMIC_SPECIES
Ba 137.33 Ba.upf
Au 196.97 Au.upf
O 16.00 O.upf
CELL_PARAMETERS angstrom
7.1423 0.0000 0.0000
0.0000 3.8785 0.0000
-0.2367 0.0000 7.2461
ATOMIC_POSITIONS angstrom
Ba 0.0000 0.0000 0.0000
Ba 1.3353 1.9392 3.5894
Ba 3.8848 1.9392 0.9741
Ba 5.2737 0.0000 3.9261
Au 2.7134 0.0000 5.8674
O 2.8642 0.0000 2.4402
O 6.3153 1.9392 1.9258
O 6.4285 1.9392 5.3859
```